## Ba2CaAg3Bi4 (PBE)

Data for an optimized crystal structure of Ba2CaAg3Bi4.

```
Ba2CaAg3Bi4
1.0
-2.693 -3.884 1.674
0.007 -1.988 -4.603
10.735 -6.270 2.725
Ag Ba Bi Ca
3 2 4 1
Direct
0.500 0.000 0.871
0.000 0.000 0.500
0.000 0.500 0.129
0.500 0.000 0.235
0.000 0.500 0.765
0.500 0.500 0.000
0.000 0.500 0.353
0.000 0.000 0.000
0.500 0.000 0.647
0.500 0.500 0.500
```

V	320.0	Å³ per cell
uncorrected energy	-0.130	hartree per atom
M_tot	0.000	μB per atom
formation enthalpy at 0 K	-0.551	eV/atom

---

## GaPd6Au5 (PBE)

Data for an optimized crystal structure of GaPd6Au5.

```
GaPd6Au5
1.0
4.356 -0.285 0.725
-0.018 6.285 2.577
1.041 0.543 7.636
Pd Au Ga
6 5 1
Direct
0.500 0.780 0.000
0.500 0.220 0.000
0.842 0.610 0.315
0.842 0.075 0.315
0.158 0.925 0.685
0.158 0.390 0.685
0.661 0.661 0.678
0.319 0.819 0.362
0.000 0.500 0.000
0.681 0.181 0.638
0.339 0.339 0.322
0.000 0.000 0.000
```

V	197.4	Å³ per cell
uncorrected energy	-0.163	hartree per atom
M_tot	0.000	μB per atom
formation enthalpy at 0 K	-0.221	eV/atom

---

## CeAl2Ni2Ge (PBE)

Data for an optimized crystal structure of CeAl2Ni2Ge.

```
CeAl2Ni2Ge
1.0
-3.784 1.814 1.271
-2.202 -2.812 -2.544
-0.305 -3.653 4.302
Al Ce Ni Ge
2 1 2 1
Direct
0.500 0.500 0.253
0.500 0.500 0.747
0.000 0.000 0.500
0.000 0.500 0.000
0.500 0.000 0.000
0.000 0.000 0.000
```

V	108.7	Å³ per cell
uncorrected energy	-0.193	hartree per atom
M_tot	0.168	μB per atom
formation enthalpy at 0 K	-0.311	eV/atom

---

## CsZrIr3 (PBE)

Data for an optimized crystal structure of CsZrIr3.

```
CsZrIr3
1.0
4.922 0.000 0.000
0.000 4.922 0.000
0.000 0.000 4.922
Zr Ir Cs
1 3 1
Direct
0.500 0.500 0.500
0.500 0.000 0.000
0.000 0.500 0.000
0.000 0.000 0.500
0.000 0.000 0.000
```

V	119.2	Å³ per cell
uncorrected energy	-0.171	hartree per atom
M_tot	0.000	μB per atom
formation enthalpy at 0 K	2.552	eV/atom

---

- The lowest uncorrected energy belongs to which entry?
  CeAl2Ni2Ge

---

- Which of these has the highest formation enthalpy at 0 K?
  CsZrIr3

---

- Which value of M_tot does entry 2 give?
  0.000 μB per atom

---

- What is the formula in the first record?
  Ba2CaAg3Bi4